(1)
Compound: Dy3Sc4Al4
Source: the Alexandria database
Functional: PBE
Structure: optimized geometry

The value obtained for the energy of formation from the pure elements is -240.3 meV per atom. The total magnetization is 0.0000 μB/atom.

It has space group Immm (No. 71), with a = 4.925 Å, b = 6.693 Å, c = 15.885 Å, α = 90.00°, β = 90.00° and γ = 90.00°. The inequivalent atoms are Dy at (0.000, 0.000, 0.000), Dy at (0.000, 0.500, 0.111), Sc at (0.000, 0.276, 0.321), Al at (0.000, 0.000, 0.186) and Al at (0.000, 0.202, 0.500).


(2)
Compound: DySc5Al3
Source: the Alexandria database
Functional: PBE
Structure: optimized geometry

The value obtained for the energy of formation from the pure elements is -325.7 meV per atom. The total magnetization is 0.0002 μB/atom.

It has space group P6_3/mcm (No. 193), with a = 8.5774 Å, b = 8.5774 Å, c = 6.2369 Å, α = 90.00°, β = 90.00° and γ = 120.00°. The inequivalent atoms are Dy at (0.0000, 0.0000, 0.0000), Sc at (0.0000, 0.3373, 0.2500), Sc at (0.3333, 0.6667, 0.0000) and Al at (0.0000, 0.3361, 0.7500).


(3)
Compound: Dy3ScAl8
Source: the Alexandria database
Functional: PBE
Structure: optimized geometry

The value obtained for the energy of formation from the pure elements is -497.2 meV per atom. The total magnetization is 0.0000 μB/atom. The calculation puts the energy above the lowest structure with this stoichiometry at 8 meV per atom.

It has space group P3m1 (No. 156), with a = 5.5047 Å, b = 5.5047 Å, c = 9.0321 Å, α = 90.00°, β = 90.00° and γ = 120.00°. The inequivalent atoms are Dy at (0.0000, 0.0000, 0.0000), Dy at (0.0000, 0.0000, 0.3661), Dy at (0.3333, 0.6667, 0.8617), Sc at (0.3333, 0.6667, 0.4994), Al at (0.0094, 0.5047, 0.1840), Al at (0.3244, 0.1622, 0.6778), Al at (0.6667, 0.3333, 0.4320) and Al at (0.6667, 0.3333, 0.9294).